(1)
Here is TcOs2 after structural relaxation from Alexandria. Energies are from PBE.

Cell lengths 5.9906, 5.9906, 5.9906 Å; angles 90.00, 90.00, 90.00 degrees
With the nearest neighbours (Å) after each atom.
Fractional positions:
Tc 0.0000 0.0000 0.0000  6 Os 2.51
Tc 0.0000 0.5000 0.5000  6 Os 2.51
Tc 0.5000 0.0000 0.5000  6 Os 2.51
Tc 0.5000 0.5000 0.0000  6 Os 2.51
Os 0.1132 0.6132 0.8868  1 Os 2.35, 3 Tc 2.51
Os 0.1132 0.8868 0.3868  1 Os 2.35, 3 Tc 2.51
Os 0.3868 0.1132 0.8868  1 Os 2.35, 3 Tc 2.51
Os 0.3868 0.3868 0.3868  1 Os 2.35, 3 Tc 2.51
Os 0.6132 0.6132 0.6132  1 Os 2.35, 3 Tc 2.51
Os 0.6132 0.8868 0.1132  1 Os 2.35, 3 Tc 2.51
Os 0.8868 0.1132 0.6132  1 Os 2.35, 3 Tc 2.51
Os 0.8868 0.3868 0.1132  1 Os 2.35, 3 Tc 2.51

Calculated values
Formation energy ... 126.50 kJ per mole of atoms
Symmetry ... Pa-3, No. 205
Excess energy over the best structure of this formula in the dataset ... 4.150 eV per formula unit
Density of states at the Fermi level ... 1.409 states/eV per atom

(2)
Here is Cs2TeBr4F2 after structural relaxation from Alexandria. Energies are from PBE.

Cell lengths 7.4886, 7.4886, 6.4740 Å; angles 102.99, 102.99, 64.70 degrees
With the nearest neighbours (Å) after each atom.
Fractional positions:
Cs 0.1789 0.1789 0.3253  1 F 3.05
Cs 0.8211 0.8211 0.6747  1 F 3.05
Te 0.5000 0.5000 0.0000  2 F 2.08
Br 0.1602 0.6560 0.1907  1 Te 2.75
Br 0.3440 0.8398 0.8093  1 Te 2.75
Br 0.6560 0.1602 0.1907  1 Te 2.75
Br 0.8398 0.3440 0.8093  1 Te 2.75
F 0.3613 0.3613 0.7418  1 Te 2.08
F 0.6387 0.6387 0.2582  1 Te 2.08

Calculated values
Symmetry ... C2/m, No. 12
E_form (uncorrected) ... -1.522 eV/atom
Density of states at the Fermi level ... 0.000 states/eV per atom

(3)
Here is SnSb2F after structural relaxation from Alexandria. Energies are from PBE.

Cell lengths 7.1371, 7.1371, 7.1371 Å; angles 90.00, 90.00, 90.00 degrees
With the nearest neighbours (Å) after each atom.
Fractional positions:
Sn 0.0000 0.0000 0.0000  8 Sb 3.09
Sn 0.0000 0.5000 0.5000  8 Sb 3.09
Sn 0.5000 0.0000 0.5000  8 Sb 3.09
Sn 0.5000 0.5000 0.0000  8 Sb 3.09
Sb 0.2500 0.2500 0.2500  4 F 3.09, 4 Sn 3.09
Sb 0.2500 0.2500 0.7500  4 F 3.09, 4 Sn 3.09
Sb 0.2500 0.7500 0.2500  4 F 3.09, 4 Sn 3.09
Sb 0.2500 0.7500 0.7500  4 F 3.09, 4 Sn 3.09
Sb 0.7500 0.2500 0.2500  4 F 3.09, 4 Sn 3.09
Sb 0.7500 0.2500 0.7500  4 F 3.09, 4 Sn 3.09
Sb 0.7500 0.7500 0.2500  4 F 3.09, 4 Sn 3.09
Sb 0.7500 0.7500 0.7500  4 F 3.09, 4 Sn 3.09
F 0.0000 0.0000 0.5000  8 Sb 3.09
F 0.0000 0.5000 0.0000  8 Sb 3.09
F 0.5000 0.0000 0.0000  8 Sb 3.09
F 0.5000 0.5000 0.5000  8 Sb 3.09

Calculated values
Symmetry ... Fm-3m, No. 225
E_form (uncorrected) ... -0.417 eV/atom
Excess energy over the best structure of this formula in the dataset ... 0.000 eV per formula unit
Density of states at the Fermi level ... 0.434 states/eV per atom

Please write out number 3 again, unchanged.
Here is SnSb2F after structural relaxation from Alexandria. Energies are from PBE.

Cell lengths 7.1371, 7.1371, 7.1371 Å; angles 90.00, 90.00, 90.00 degrees
With the nearest neighbours (Å) after each atom.
Fractional positions:
Sn 0.0000 0.0000 0.0000  8 Sb 3.09
Sn 0.0000 0.5000 0.5000  8 Sb 3.09
Sn 0.5000 0.0000 0.5000  8 Sb 3.09
Sn 0.5000 0.5000 0.0000  8 Sb 3.09
Sb 0.2500 0.2500 0.2500  4 F 3.09, 4 Sn 3.09
Sb 0.2500 0.2500 0.7500  4 F 3.09, 4 Sn 3.09
Sb 0.2500 0.7500 0.2500  4 F 3.09, 4 Sn 3.09
Sb 0.2500 0.7500 0.7500  4 F 3.09, 4 Sn 3.09
Sb 0.7500 0.2500 0.2500  4 F 3.09, 4 Sn 3.09
Sb 0.7500 0.2500 0.7500  4 F 3.09, 4 Sn 3.09
Sb 0.7500 0.7500 0.2500  4 F 3.09, 4 Sn 3.09
Sb 0.7500 0.7500 0.7500  4 F 3.09, 4 Sn 3.09
F 0.0000 0.0000 0.5000  8 Sb 3.09
F 0.0000 0.5000 0.0000  8 Sb 3.09
F 0.5000 0.0000 0.0000  8 Sb 3.09
F 0.5000 0.5000 0.5000  8 Sb 3.09

Calculated values
Symmetry ... Fm-3m, No. 225
E_form (uncorrected) ... -0.417 eV/atom
Excess energy over the best structure of this formula in the dataset ... 0.000 eV per formula unit
Density of states at the Fermi level ... 0.434 states/eV per atom

Please write out number 1 again, unchanged.
Here is TcOs2 after structural relaxation from Alexandria. Energies are from PBE.

Cell lengths 5.9906, 5.9906, 5.9906 Å; angles 90.00, 90.00, 90.00 degrees
With the nearest neighbours (Å) after each atom.
Fractional positions:
Tc 0.0000 0.0000 0.0000  6 Os 2.51
Tc 0.0000 0.5000 0.5000  6 Os 2.51
Tc 0.5000 0.0000 0.5000  6 Os 2.51
Tc 0.5000 0.5000 0.0000  6 Os 2.51
Os 0.1132 0.6132 0.8868  1 Os 2.35, 3 Tc 2.51
Os 0.1132 0.8868 0.3868  1 Os 2.35, 3 Tc 2.51
Os 0.3868 0.1132 0.8868  1 Os 2.35, 3 Tc 2.51
Os 0.3868 0.3868 0.3868  1 Os 2.35, 3 Tc 2.51
Os 0.6132 0.6132 0.6132  1 Os 2.35, 3 Tc 2.51
Os 0.6132 0.8868 0.1132  1 Os 2.35, 3 Tc 2.51
Os 0.8868 0.1132 0.6132  1 Os 2.35, 3 Tc 2.51
Os 0.8868 0.3868 0.1132  1 Os 2.35, 3 Tc 2.51

Calculated values
Formation energy ... 126.50 kJ per mole of atoms
Symmetry ... Pa-3, No. 205
Excess energy over the best structure of this formula in the dataset ... 4.150 eV per formula unit
Density of states at the Fermi level ... 1.409 states/eV per atom